(1)
Computed, not measured: a relaxed structure of YTm2AlS6 at the GGA-PBE level of DFT.

The calculation puts the uncorrected formation energy at -1752 meV/atom.

The space group is R3 (No. 146, hexagonal axes) and the conventional cell measures 6.6678, 6.6678 and 17.8253 Å, with angles of 90.00, 90.00 and 120.00 degrees. Symmetry generates all atoms from Y at (0.0000, 0.0000, 0.0000), Tm at (0.0000, 0.0000, 0.2950), Tm at (0.0000, 0.0000, 0.7987), Al at (0.0000, 0.0000, 0.4946), S at (0.0004, 0.3667, 0.2307) and S at (0.0495, 0.6738, 0.0714).

(2)
Computed, not measured: a relaxed structure of UAlS2 at the GGA-PBE level of DFT.

The calculation puts the uncorrected formation energy at -611 meV/atom.

The space group is R-3m (No. 166, hexagonal axes) and the conventional cell measures 3.4172, 3.4172 and 24.7227 Å, with angles of 90.00, 90.00 and 120.00 degrees. Symmetry generates all atoms from U at (0.0000, 0.0000, 0.0000), Al at (0.0000, 0.0000, 0.5000) and S at (0.0000, 0.0000, 0.1117).

(3)
Computed, not measured: a relaxed structure of UAlS3 at the GGA-PBE level of DFT.

The calculation puts the uncorrected formation energy at -1104 meV/atom.

The space group is Cmc2_1 (No. 36) and the conventional cell measures 3.7525, 21.5831 and 6.5727 Å, with angles of 90.00, 90.00 and 90.00 degrees. Symmetry generates all atoms from U at (0.0000, 0.1712, 0.0000), Al at (0.0000, 0.3815, 0.0799), S at (0.0000, 0.0733, 0.7163), S at (0.0000, 0.2829, 0.2164) and S at (0.0000, 0.3832, 0.7391).

(4)
Computed, not measured: a relaxed structure of U2AlS6 at the GGA-PBE level of DFT.

The calculation puts the uncorrected formation energy at -1094 meV/atom.

The space group is P4_2/mnm (No. 136) and the conventional cell measures 6.0491, 6.0491 and 11.7769 Å, with angles of 90.00, 90.00 and 90.00 degrees. Symmetry generates all atoms from U at (0.0000, 0.0000, 0.1679), Al at (0.0000, 0.0000, 0.5000), S at (0.1887, 0.1887, 0.3470) and S at (0.2047, 0.2047, 0.0000).

(5)
Computed, not measured: a relaxed structure of UAl2S6 at the GGA-PBE level of DFT.

The calculation puts the uncorrected formation energy at -899 meV/atom.

The space group is C2/c (No. 15) and the conventional cell measures 12.1497, 11.1280 and 6.6888 Å, with angles of 90.00, 100.56 and 90.00 degrees. Symmetry generates all atoms from U at (0.0000, 0.1088, 0.2500), Al at (0.1849, 0.4328, 0.3252), S at (0.1157, 0.0703, 0.6224), S at (0.1299, 0.2574, 0.1495) and S at (0.1308, 0.4127, 0.6230).

(6)
Computed, not measured: a relaxed structure of U3AlS6 at the GGA-PBE level of DFT.

The calculation puts the uncorrected formation energy at -1267 meV/atom.

The space group is Cmc2_1 (No. 36) and the conventional cell measures 10.6271, 13.1261 and 6.4920 Å, with angles of 90.00, 90.00 and 90.00 degrees. Symmetry generates all atoms from U at (0.0000, 0.0978, 0.0000), U at (0.1785, 0.4038, 0.9080), Al at (0.0000, 0.2998, 0.3654), S at (0.0000, 0.2789, 0.7101), S at (0.0000, 0.4610, 0.2238), S at (0.1615, 0.0330, 0.7042) and S at (0.1680, 0.2345, 0.1936).

(7)
Computed, not measured: a relaxed structure of AlVS4 at the GGA-PBE level of DFT.

The calculation puts the uncorrected formation energy at -734 meV/atom. The distance to the lowest polymorph of the same formula comes out at 0.0000 eV per atom.

The space group is I-4 (No. 82) and the conventional cell measures 5.5187, 5.5187 and 9.7309 Å, with angles of 90.00, 90.00 and 90.00 degrees. Symmetry generates all atoms from Al at (0.0000, 0.0000, 0.0000), V at (0.0000, 0.5000, 0.2500) and S at (0.2259, 0.2610, 0.1282).

(8)
Computed, not measured: a relaxed structure of Al3VS6 at the GGA-PBE level of DFT.

The calculation puts the uncorrected formation energy at -837 meV/atom.

The space group is R-3 (No. 148, hexagonal axes) and the conventional cell measures 10.1410, 10.1410 and 12.4459 Å, with angles of 90.00, 90.00 and 120.00 degrees. Symmetry generates all atoms from Al at (0.0555, 0.2776, 0.2078), V at (0.0000, 0.0000, 0.0000), V at (0.0000, 0.0000, 0.5000), S at (0.0147, 0.1897, 0.8758) and S at (0.0192, 0.2055, 0.3938).

Copy entry 7 word for word.
Computed, not measured: a relaxed structure of AlVS4 at the GGA-PBE level of DFT.

The calculation puts the uncorrected formation energy at -734 meV/atom. The distance to the lowest polymorph of the same formula comes out at 0.0000 eV per atom.

The space group is I-4 (No. 82) and the conventional cell measures 5.5187, 5.5187 and 9.7309 Å, with angles of 90.00, 90.00 and 90.00 degrees. Symmetry generates all atoms from Al at (0.0000, 0.0000, 0.0000), V at (0.0000, 0.5000, 0.2500) and S at (0.2259, 0.2610, 0.1282).